No. 1
This record from the Alexandria database describes Tm4ScPd after structural relaxation. The functional is PBE.

## Properties
As for the density of states at the Fermi level: 17.3 states/eV per cell. Its total energy is -5.118 eV/atom. Its space-group type is C2/c, No. 15.

Lattice parameters (Å, degrees): 5.7491 9.0223 7.9562 116.31 99.61 110.05
Closest atoms and distances in Å follow each position.
Atoms (fractional coordinates):
Tm 0.0519 0.2015 0.8267  2 Pd 3.02-3.10, 1 Sc 3.26
Tm 0.7714 0.7087 0.6425  2 Pd 2.89-2.96, 1 Sc 3.21
Tm 0.2748 0.6253 0.8267  2 Pd 3.02-3.10, 1 Sc 3.26
Tm 0.3712 0.9339 0.6425  2 Pd 2.89-2.96, 1 Sc 3.21
Tm 0.6288 0.0661 0.3575  2 Pd 2.89-2.96, 1 Sc 3.21
Tm 0.7252 0.3747 0.1733  2 Pd 3.02-3.10, 1 Sc 3.26
Tm 0.2286 0.2913 0.3575  2 Pd 2.89-2.96, 1 Sc 3.21
Tm 0.9481 0.7985 0.1733  2 Pd 3.02-3.10, 1 Sc 3.26
Sc 0.3690 0.6190 0.2380  10 Tm 3.21-3.43
Sc 0.6310 0.3810 0.7620  10 Tm 3.21-3.43
Pd 0.2492 0.9992 0.9984  2 Pd 2.87, 8 Tm 2.89-3.10
Pd 0.7508 0.0008 0.0016  2 Pd 2.87, 8 Tm 2.89-3.10

***

No. 2
This record from the Alexandria database describes Tm5ScPd4 after structural relaxation. The functional is PBE.

## Properties
As for the density of states at the Fermi level: 9.5 states/eV per cell. Its total energy is -5.676 eV/atom. Its space-group type is P4/mmm, No. 123.

Lattice parameters (Å, degrees): 3.4619 3.4619 18.4433 90.00 90.00 90.00
Closest atoms and distances in Å follow each position.
Atoms (fractional coordinates):
Tm 0.5000 0.5000 0.1248  4 Pd 2.99
Tm 0.5000 0.5000 0.3112  8 Pd 2.99-3.00
Tm 0.5000 0.5000 0.5000  8 Pd 3.02
Tm 0.5000 0.5000 0.6888  8 Pd 2.99-3.00
Tm 0.5000 0.5000 0.8752  4 Pd 2.99
Sc 0.0000 0.0000 0.0000  8 Tm 3.36, 4 Sc 3.46
Pd 0.0000 0.0000 0.2176  8 Tm 2.99-3.00
Pd 0.0000 0.0000 0.4045  8 Tm 2.99-3.02
Pd 0.0000 0.0000 0.5955  8 Tm 2.99-3.02
Pd 0.0000 0.0000 0.7824  8 Tm 2.99-3.00

***

No. 3
This record from the Alexandria database describes Tm6ScPd2 after structural relaxation. The functional is PBE.

## Properties
As for the density of states at the Fermi level: 10.2 states/eV per cell. Its total energy is -5.235 eV/atom. Its space-group type is C2/m, No. 12.

Lattice parameters (Å, degrees): 3.6145 7.9809 8.4855 78.88 77.70 76.91
Closest atoms and distances in Å follow each position.
Atoms (fractional coordinates):
Tm 0.0338 0.1240 0.8084  2 Pd 2.96
Tm 0.2895 0.3134 0.1076  3 Pd 2.92-3.04
Tm 0.7105 0.6866 0.8924  3 Pd 2.92-3.04
Tm 0.3104 0.8264 0.5529  2 Sc 3.20, 7 Tm 3.26-3.47, 2 Pd 3.29-3.47
Tm 0.6896 0.1736 0.4471  2 Sc 3.20, 7 Tm 3.26-3.47, 2 Pd 3.29-3.47
Tm 0.9662 0.8760 0.1916  2 Pd 2.96
Sc 0.0000 0.5000 0.5000  4 Pd 2.78
Pd 0.4079 0.4284 0.7558  2 Sc 2.78, 5 Tm 2.92-3.04
Pd 0.5921 0.5716 0.2442  2 Sc 2.78, 5 Tm 2.92-3.04